Computed, not measured: a geometry-optimized Ta2Tl2RhS6 structure at the PBE-GGA level of DFT.

Cell: 5.9794 5.9794 8.6997 Å, 93.14 93.14 122.53°
Closest atoms and distances in Å follow each position.
Element x y z (fractional)
Ta 0.1391 0.8609 0.0000  6 S 2.44-2.59
Ta 0.8609 0.1391 0.0000  6 S 2.44-2.59
Tl 0.3391 0.6609 0.5000  4 S 3.25-3.43, 3 Tl 3.38-3.43
Tl 0.6609 0.3391 0.5000  4 S 3.25-3.43, 3 Tl 3.38-3.43
Rh 0.5000 0.5000 0.0000  6 S 2.43-2.45
S 0.1458 0.4868 0.8395  1 Rh 2.43, 2 Ta 2.44-2.59
S 0.2162 0.2162 0.1905  2 Ta 2.44, 1 Rh 2.45
S 0.4868 0.1458 0.8395  1 Rh 2.43, 2 Ta 2.44-2.59
S 0.5132 0.8542 0.1605  1 Rh 2.43, 2 Ta 2.44-2.59
S 0.7838 0.7838 0.8095  2 Ta 2.44, 1 Rh 2.45
S 0.8542 0.5132 0.1605  1 Rh 2.43, 2 Ta 2.44-2.59

Calculated values
**Size of the total moment**: 0.0 μB per cell
**E_tot**: -68.10 eV/f.u.